Record 1
Material: Tb4Er5Tm3
Method: DFT, PBE
State: relaxed

abc: 7.0296 11.1019 12.6558
angles: 151.29 56.32 129.27
Element x y z (fractional)
1 Tb 0.9164 0.8339 0.6664
2 Tb 0.8330 0.6658 0.8330
3 Tb 0.1670 0.3342 0.1670
4 Tb 0.0836 0.1661 0.3336
5 Er 0.3328 0.6657 0.8332
6 Er 0.5000 0.0000 0.5000
7 Er 0.7509 0.4993 0.9992
8 Er 0.2491 0.5007 0.0008
9 Er 0.6672 0.3343 0.1668
10 Tm 0.5818 0.1653 0.3329
11 Tm 0.0000 0.0000 0.5000
12 Tm 0.4182 0.8347 0.6671

Summary:
- Calculated volume: 30.61 A^3/atom
- Offset from the most stable computed form: 0 meV per atom
- ΔH_f (0 K): 0.021 eV/atom
- DOS(E_F): 15.6 states/eV/f.u.

=====

Record 2
Material: Tb4Er8Tm3
Method: DFT, PBE
State: relaxed

abc: 6.8414 6.8414 12.2648
angles: 73.81 73.81 60.00
Element x y z (fractional)
1 Tb 0.0000 0.0000 0.0000
2 Tb 0.3364 0.3364 0.9907
3 Tb 0.5000 0.5000 0.5000
4 Tb 0.6636 0.6636 0.0093
5 Er 0.2447 0.2447 0.2660
6 Er 0.2472 0.7501 0.2526
7 Er 0.7501 0.7501 0.2526
8 Er 0.7501 0.2472 0.2526
9 Er 0.7553 0.7553 0.7340
10 Er 0.7528 0.2499 0.7474
11 Er 0.2499 0.2499 0.7474
12 Er 0.2499 0.7528 0.7474
13 Tm 0.5000 0.0000 0.5000
14 Tm 0.0000 0.0000 0.5000
15 Tm 0.0000 0.5000 0.5000

Summary:
- Calculated volume: 31.38 A^3/atom
- Offset from the most stable computed form: 0 meV per atom
- ΔH_f (0 K): 0.139 eV/atom
- DOS(E_F): 22.2 states/eV/f.u.

=====

Record 3
Material: Tb4Er3Tm4
Method: DFT, PBE
State: relaxed

abc: 3.5096 4.9643 19.5618
angles: 97.29 95.13 89.98
Element x y z (fractional)
1 Tb 0.5458 0.5455 0.0913
2 Tb 0.4542 0.4545 0.9087
3 Tb 0.8179 0.8183 0.6359
4 Tb 0.1820 0.1817 0.3641
5 Er 0.6367 0.6361 0.2728
6 Er 0.3633 0.3640 0.7272
7 Er 0.0000 0.0000 0.0000
8 Tm 0.0914 0.0910 0.1826
9 Tm 0.2725 0.2727 0.5450
10 Tm 0.7274 0.7273 0.4550
11 Tm 0.9086 0.9091 0.8174

Summary:
- Calculated volume: 30.61 A^3/atom
- Offset from the most stable computed form: 0 meV per atom
- ΔH_f (0 K): 0.021 eV/atom
- DOS(E_F): 13.1 states/eV/f.u.

=====

Record 4
Material: Tb8ErTm3
Method: DFT, PBE
State: relaxed

abc: 7.6318 7.6318 9.3379
angles: 114.08 114.08 89.98
Element x y z (fractional)
1 Tb 0.8750 0.3755 0.2503
2 Tb 0.3752 0.3752 0.2502
3 Tb 0.1252 0.1252 0.7498
4 Tb 0.6245 0.1250 0.7497
5 Tb 0.3755 0.8750 0.2503
6 Tb 0.8748 0.8748 0.2502
7 Tb 0.6248 0.6248 0.7498
8 Tb 0.1250 0.6245 0.7497
9 Er 0.0000 0.0000 0.0000
10 Tm 0.2500 0.7500 0.5000
11 Tm 0.5000 0.5000 0.0000
12 Tm 0.7500 0.2500 0.5000

Summary:
- Calculated volume: 37.02 A^3/atom
- ΔH_f (0 K): 0.716 eV/atom
- DOS(E_F): 14.4 states/eV/f.u.